Record 1
Computed, not measured: a relaxed structure of PrHgPd at the PBE level of DFT.

```
3
Lattice="0.0000 3.4187 3.4187 3.4187 0.0000 3.4187 3.4187 3.4187 0.0000" Properties=species:S:1:pos:R:3 pbc="T T T"
Pr 0.0000 0.0000 0.0000
Hg 3.4187 3.4187 3.4187
Pd 5.1280 5.1280 5.1280
```

The space group is F-43m, No. 216. As for the formation energy: -163 kJ/mol of formula units. The energy above the most stable polymorph in this dataset comes out at 121 meV per atom.


Record 2
Computed, not measured: a relaxed structure of Gd2IrN at the PBE level of DFT.

```
4
Lattice="1.7987 1.0385 6.7902 -1.7987 1.0385 6.7902 0.0000 -2.0769 6.7902" Properties=species:S:1:pos:R:3 pbc="T T T"
Gd 0.0000 0.0000 4.8122
Gd 0.0000 0.0000 15.5583
Ir 0.0000 0.0000 0.0000
N 0.0000 0.0000 10.1853
```

The calculation puts the formation energy from raw total energies at -0.88 eV/atom. The space group is R-3m, No. 166.


Record 3
Computed, not measured: a relaxed structure of PmHo5Er6 at the PBE level of DFT.

```
12
Lattice="3.0530 -5.2823 0.0000 3.0530 5.2823 0.0000 -2.0268 0.0000 11.4976" Properties=species:S:1:pos:R:3 pbc="T T T"
Pm 0.0000 0.0000 0.0000
Ho 2.0396 3.5193 5.7488
Ho 3.0530 1.7611 0.0000
Ho 2.0396 0.0000 5.7488
Ho 3.0530 -1.7611 0.0000
Ho 2.0396 -3.5193 5.7488
Er 1.0185 1.7634 2.8890
Er 0.0124 0.0000 8.6107
Er 1.0185 -1.7634 2.8890
Er 3.0608 1.7634 8.6086
Er 4.0668 0.0000 2.8869
Er 3.0608 -1.7634 8.6086
```

The space group is C2/m, No. 12. As for the formation energy: 23 kJ/mol of formula units.


Record 4
Computed, not measured: a relaxed structure of Er3AgPt at the PBE level of DFT.

```
10
Lattice="2.4946 -9.6691 0.0000 2.4946 9.6691 0.0000 0.0000 0.0000 4.9752" Properties=species:S:1:pos:R:3 pbc="T T T"
Er 2.4946 8.3233 3.7314
Er 2.4946 4.8285 3.7314
Er 2.4946 1.3508 3.7314
Er 2.4946 -1.3508 1.2438
Er 2.4946 -4.8285 1.2438
Er 2.4946 -8.3233 1.2438
Ag 2.4946 6.6148 1.2438
Ag 2.4946 -6.6148 3.7314
Pt 2.4946 3.1041 1.2438
Pt 2.4946 -3.1041 3.7314
```

The space group is Cmcm, No. 63. As for the formation energy: -304 kJ/mol of formula units. The energy above the most stable polymorph in this dataset comes out at 0 meV per atom.